Compound: BiPtSe2
Source: Alexandria
Functional: GGA-PBE
Structure: optimized geometry

Space group: I-42d (122)
Formation energy (no corrections): -0.01 eV/atom
ρ: 7878 kg/m³
Spin magnetization: 0.0 μB per formula unit
Raw total energy: -16.95 eV per formula unit

The structure in CIF format:
```
data_BiPtSe2
_chemical_formula_sum 'Bi2 Pt2 Se4'
_cell_length_a 6.2500
_cell_length_b 6.2500
_cell_length_c 7.5042
_cell_angle_alpha 65.39
_cell_angle_beta 65.39
_cell_angle_gamma 90.00
_symmetry_space_group_name_H-M 'P 1'
_symmetry_Int_Tables_number 1
_symmetry_space_group_name_Hall 'P 1'
loop_
_atom_site_label
_atom_site_type_symbol
_atom_site_fract_x
_atom_site_fract_y
_atom_site_fract_z
Bi1 Bi 0.0000 0.0000 0.0000
Bi2 Bi 0.7500 0.2500 0.5000
Pt1 Pt 0.2500 0.7500 0.5000
Pt2 Pt 0.5000 0.5000 0.0000
Se1 Se 0.8750 0.8162 0.7500
Se2 Se 0.5662 0.1250 0.2500
Se3 Se 0.1838 0.6250 0.2500
Se4 Se 0.3750 0.4338 0.7500
```